# Ti6ZnTc5 | the Alexandria database | PBE | relaxed
data_Ti6ZnTc5
_chemical_formula_sum 'Ti12 Zn2 Tc10'
_symmetry_space_group_name_H-M 'C 1 2/m 1'
_symmetry_Int_Tables_number 12
_cell_length_a 13.8220
_cell_length_b 6.2749
_cell_length_c 4.3938
_cell_angle_alpha 90.00
_cell_angle_beta 108.47
_cell_angle_gamma 90.00
loop_
_symmetry_equiv_pos_as_xyz
'x,y,z'
'-x,-y,-z'
'-x,y,-z'
'x,-y,z'
'x+1/2,y+1/2,z'
'-x+1/2,-y+1/2,-z'
'-x+1/2,y+1/2,-z'
'x+1/2,-y+1/2,z'
loop_
_atom_site_label
_atom_site_type_symbol
_atom_site_fract_x
_atom_site_fract_y
_atom_site_fract_z
Ti1 Ti 0.0000 0.2359 0.0000
Ti2 Ti 0.1708 0.2436 0.6708
Zn1 Zn 0.0000 0.5000 0.5000
Tc1 Tc 0.0000 0.0000 0.5000
Tc2 Tc 0.1615 0.5000 0.1614
Tc3 Tc 0.1678 0.0000 0.1680
# * ΔH_f (0 K): -0.479 eV/atom

***

# Tm6Te3PPd2 | the Alexandria database | PBE | relaxed
data_Tm6Te3PPd2
_chemical_formula_sum 'Tm12 Te6 P2 Pd4'
_symmetry_space_group_name_H-M 'C 1 2/m 1'
_symmetry_Int_Tables_number 12
_cell_length_a 7.1058
_cell_length_b 12.3687
_cell_length_c 7.4726
_cell_angle_alpha 90.00
_cell_angle_beta 108.70
_cell_angle_gamma 90.00
loop_
_symmetry_equiv_pos_as_xyz
'x,y,z'
'-x,-y,-z'
'-x,y,-z'
'x,-y,z'
'x+1/2,y+1/2,z'
'-x+1/2,-y+1/2,-z'
'-x+1/2,y+1/2,-z'
'x+1/2,-y+1/2,z'
loop_
_atom_site_label
_atom_site_type_symbol
_atom_site_fract_x
_atom_site_fract_y
_atom_site_fract_z
Tm1 Tm 0.2362 0.1657 0.2123
Tm2 Tm 0.2405 0.5000 0.2148
Te1 Te 0.0000 0.1656 0.5000
Te2 Te 0.0000 0.5000 0.5000
P1 P 0.0000 0.0000 0.0000
Pd1 Pd 0.0000 0.3332 0.0000
# * formation energy without anion corrections: -26.458 kcal/mol of atoms

***

# HoZn4Pd | the Alexandria database | PBE | relaxed
data_HoZn4Pd
_chemical_formula_sum 'Ho2 Zn8 Pd2'
_symmetry_space_group_name_H-M 'P m m a'
_symmetry_Int_Tables_number 51
_cell_length_a 7.9012
_cell_length_b 3.8989
_cell_length_c 6.9277
_cell_angle_alpha 90.00
_cell_angle_beta 90.00
_cell_angle_gamma 90.00
loop_
_symmetry_equiv_pos_as_xyz
'x,y,z'
'-x,-y,-z'
'-x+1/2,-y,z'
'x+1/2,y,-z'
'x+1/2,-y,-z'
'-x+1/2,y,z'
'-x,y,-z'
'x,-y,z'
loop_
_atom_site_label
_atom_site_type_symbol
_atom_site_fract_x
_atom_site_fract_y
_atom_site_fract_z
Ho1 Ho 0.2500 0.0000 0.1160
Zn1 Zn 0.0000 0.0000 0.5000
Zn2 Zn 0.0421 0.5000 0.8097
Zn3 Zn 0.2500 0.5000 0.4451
Pd1 Pd 0.2500 0.0000 0.7151
# * energy relative to the lowest polymorph listed for this composition: 0.000 eV per atom
# * ΔH_f (0 K): -0.394 eV/atom

***

# Sn2GeTe4Pb | the Alexandria database | PBE | relaxed
data_Sn2GeTe4Pb
_chemical_formula_sum 'Sn2 Ge1 Te4 Pb1'
_symmetry_space_group_name_H-M 'P 1 2/m 1'
_symmetry_Int_Tables_number 10
_cell_length_a 7.7686
_cell_length_b 4.4889
_cell_length_c 7.7966
_cell_angle_alpha 90.00
_cell_angle_beta 109.41
_cell_angle_gamma 90.00
loop_
_symmetry_equiv_pos_as_xyz
'x,y,z'
'-x,-y,-z'
'-x,y,-z'
'x,-y,z'
loop_
_atom_site_label
_atom_site_type_symbol
_atom_site_fract_x
_atom_site_fract_y
_atom_site_fract_z
Sn1 Sn 0.0000 0.0000 0.0000
Sn2 Sn 0.0000 0.5000 0.5000
Ge1 Ge 0.5000 0.0000 0.5000
Te1 Te 0.2506 0.0000 0.7383
Te2 Te 0.2596 0.5000 0.2650
Pb1 Pb 0.5000 0.5000 0.0000
# * formation energy without anion corrections: -5.586 kcal/mol of atoms

***

# Sn3TeS8 | the Alexandria database | PBE | relaxed
data_Sn3TeS8
_chemical_formula_sum 'Sn6 Te2 S16'
_symmetry_space_group_name_H-M 'C 1 2/m 1'
_symmetry_Int_Tables_number 12
_cell_length_a 12.9268
_cell_length_b 7.4674
_cell_length_c 8.0489
_cell_angle_alpha 90.00
_cell_angle_beta 123.03
_cell_angle_gamma 90.00
loop_
_symmetry_equiv_pos_as_xyz
'x,y,z'
'-x,-y,-z'
'-x,y,-z'
'x,-y,z'
'x+1/2,y+1/2,z'
'-x+1/2,-y+1/2,-z'
'-x+1/2,y+1/2,-z'
'x+1/2,-y+1/2,z'
loop_
_atom_site_label
_atom_site_type_symbol
_atom_site_fract_x
_atom_site_fract_y
_atom_site_fract_z
Sn1 Sn 0.0000 0.0000 0.0000
Sn2 Sn 0.2500 0.2500 0.0000
Te1 Te 0.0000 0.5000 0.0000
S1 S 0.0103 0.2423 0.7772
S2 S 0.2404 0.0000 0.2174
S3 S 0.2476 0.5000 0.2228
# * formation energy without anion corrections: -5.854 kcal/mol of atoms

***

# Pu2ThAg2Hg2 | the Alexandria database | PBE | relaxed
data_Pu2ThAg2Hg2
_chemical_formula_sum 'Pu6 Th3 Ag6 Hg6'
_symmetry_space_group_name_H-M 'R -3 m'
_symmetry_Int_Tables_number 166
_symmetry_space_group_name_Hall '-R 3 2"'
_cell_length_a 4.9869
_cell_length_b 4.9869
_cell_length_c 23.7475
_cell_angle_alpha 90.00
_cell_angle_beta 90.00
_cell_angle_gamma 120.00
loop_
_atom_site_label
_atom_site_type_symbol
_atom_site_fract_x
_atom_site_fract_y
_atom_site_fract_z
Pu1 Pu 0.0000 0.0000 0.1359
Th1 Th 0.0000 0.0000 0.0000
Ag1 Ag 0.0000 0.0000 0.4103
Hg1 Hg 0.0000 0.0000 0.2689
# * ΔH_f (0 K): -0.046 eV/atom